[1]
Material: Na6NiP2
Method: DFT, PBE
State: relaxed

a = 5.011 Å, b = 5.011 Å, c = 9.345 Å
α = 74.45°, β = 74.45°, γ = 60.00°
Atoms (fractional coordinates):
1 Ni 0.000 0.000 0.000
2 Na 0.302 0.302 0.095
3 Na 0.810 0.810 0.571
4 Na 0.190 0.190 0.429
5 Na 0.420 0.420 0.740
6 P 0.917 0.917 0.248
7 Na 0.580 0.580 0.260
8 P 0.083 0.083 0.752
9 Na 0.698 0.698 0.905

* ΔE_f: -0.25 eV per atom

***

[2]
Material: Na2NiP
Method: DFT, PBE
State: relaxed

a = 4.945 Å, b = 4.945 Å, c = 4.151 Å
α = 90.00°, β = 90.00°, γ = 120.00°
Atoms (fractional coordinates):
1 P 0.000 0.000 0.500
2 Na 0.333 0.667 0.254
3 Ni 0.000 0.000 0.000
4 Na 0.667 0.333 0.746

* ΔE_f: -0.30 eV per atom

***

[3]
Material: Na2NiP2
Method: DFT, PBE
State: relaxed

a = 5.865 Å, b = 5.228 Å, c = 7.055 Å
α = 96.03°, β = 90.00°, γ = 124.12°
Atoms (fractional coordinates):
1 P 0.021 0.730 0.993
2 Na 0.522 0.299 0.140
3 Na 0.223 0.701 0.360
4 Ni 0.041 0.000 0.750
5 Na 0.777 0.299 0.640
6 P 0.979 0.270 0.007
7 P 0.292 0.270 0.507
8 P 0.708 0.730 0.493
9 Na 0.478 0.701 0.860
10 Ni 0.959 0.000 0.250

* distance to the lowest polymorph of the same formula: 74 meV/atom
* ΔE_f: -0.31 eV per atom

***

[4]
Material: Na2Ni12P7
Method: DFT, PBE
State: relaxed

a = 3.601 Å, b = 9.118 Å, c = 9.118 Å
α = 120.00°, β = 90.00°, γ = 90.00°
Atoms (fractional coordinates):
1 Na 0.251 0.333 0.667
2 Ni 0.750 0.257 0.144
3 P 0.249 0.706 0.591
4 Ni 0.250 0.144 0.887
5 Ni 0.751 0.565 0.621
6 Ni 0.250 0.113 0.257
7 P 0.751 0.591 0.885
8 P 0.751 0.294 0.409
9 Ni 0.750 0.887 0.743
10 Na 0.749 0.667 0.333
11 Ni 0.751 0.056 0.435
12 P 0.249 0.409 0.115
13 Ni 0.249 0.944 0.565
14 Ni 0.250 0.743 0.856
15 P 0.500 0.000 0.000
16 Ni 0.249 0.435 0.379
17 P 0.249 0.885 0.294
18 Ni 0.750 0.856 0.113
19 Ni 0.751 0.379 0.944
20 P 0.751 0.115 0.706
21 Ni 0.249 0.621 0.056

* ΔE_f: -0.52 eV per atom

***

| no. | volume (Å³/atom) |
| --- | --- |
| 1 | 21.47 |
| 2 | 21.98 |
| 3 | 17.76 |
| 4 | 12.35 |